Record 1
# Ta2CuSi2

An optimized crystal structure of Ta2CuSi2 (GGA-PBE, the Alexandria database).

Values from the calculation:
Size of the total moment, μB per formula unit: 0.0
DOS at the Fermi energy, states/eV per cell: 7.59
Calculated total energy, eV/atom: -7.9889
SG: No. 127

Cell lengths 6.3895, 6.3895, 3.6475 Å; angles 90.00, 90.00, 90.00 degrees
Positions (direct):
1 Si 0.3692 0.8692 0.0000
2 Si 0.1308 0.3692 0.0000
3 Si 0.6308 0.1308 0.0000
4 Si 0.8692 0.6308 0.0000
5 Ta 0.3284 0.1716 0.5000
6 Ta 0.1716 0.6716 0.5000
7 Ta 0.6716 0.8284 0.5000
8 Ta 0.8284 0.3284 0.5000
9 Cu 0.0000 0.0000 0.0000
10 Cu 0.5000 0.5000 0.0000

=====

Record 2
# Sc8Co2Rh

An optimized crystal structure of Sc8Co2Rh (GGA-PBE, the Alexandria database).

Values from the calculation:
Size of the total moment, μB per formula unit: 0.0
DOS at the Fermi energy, states/eV per cell: 13.46
Energy of formation, eV per atom: -0.344
Energy above the most stable polymorph in this dataset, meV/atom: 0.0
Calculated total energy, eV/atom: -6.9092
SG: No. 12

Cell lengths 4.6038, 6.2760, 8.1884 Å; angles 107.78, 106.33, 90.00 degrees
Positions (direct):
1 Sc 0.6729 0.9713 0.3458
2 Sc 0.3271 0.0287 0.6542
3 Sc 0.9662 0.2122 0.9324
4 Sc 0.4017 0.5396 0.8034
5 Sc 0.8024 0.6884 0.6048
6 Sc 0.5983 0.4604 0.1966
7 Sc 0.0338 0.7878 0.0676
8 Sc 0.1976 0.3116 0.3952
9 Rh 0.5000 0.0000 0.0000
10 Co 0.1830 0.6933 0.3661
11 Co 0.8170 0.3067 0.6339

=====

Record 3
# SrMg2Ge2Au2

An optimized crystal structure of SrMg2Ge2Au2 (GGA-PBE, the Alexandria database).

Values from the calculation:
Size of the total moment, μB per formula unit: 0.0
DOS at the Fermi energy, states/eV per cell: 1.01
Energy of formation, eV per atom: -0.531
Calculated total energy, eV/atom: -3.4830
SG: No. 166

Cell lengths 4.4519, 4.4519, 9.4963 Å; angles 76.44, 76.44, 60.00 degrees
Positions (direct):
1 Ge 0.4102 0.4102 0.7694
2 Ge 0.5898 0.5898 0.2306
3 Au 0.7621 0.7621 0.7138
4 Au 0.2379 0.2379 0.2862
5 Mg 0.1341 0.1341 0.5976
6 Mg 0.8659 0.8659 0.4024
7 Sr 0.0000 0.0000 0.0000

=====

Record 4
# ScP2Rh

An optimized crystal structure of ScP2Rh (GGA-PBE, the Alexandria database).

Values from the calculation:
Size of the total moment, μB per formula unit: 0.0
DOS at the Fermi energy, states/eV per cell: 1.97
Energy of formation, eV per atom: -0.734
Energy above the most stable polymorph in this dataset, meV/atom: 187.7
Calculated total energy, eV/atom: -6.8593
SG: No. 99

Cell lengths 3.5153, 3.5167, 5.2301 Å; angles 90.00, 90.00, 90.00 degrees
Positions (direct):
1 P 0.0000 0.0000 0.9243
2 P 0.5000 0.5000 0.3221
3 Rh 0.0000 0.0000 0.4327
4 Sc 0.5000 0.5000 0.8209

=====

Record 5
# Tb5Nd2DyEr

An optimized crystal structure of Tb5Nd2DyEr (GGA-PBE, the Alexandria database).

Values from the calculation:
Size of the total moment, μB per formula unit: 0.0
DOS at the Fermi energy, states/eV per cell: 24.55
Energy of formation, eV per atom: 0.275
Calculated total energy, eV/atom: -4.3752
SG: No. 140

Cell lengths 8.6038, 8.6038, 10.0179 Å; angles 115.43, 115.43, 90.00 degrees
Positions (direct):
1 Dy 0.2500 0.2500 0.5000
2 Dy 0.7500 0.7500 0.5000
3 Tb 0.0000 0.0000 0.0000
4 Tb 0.4276 0.3549 0.2824
5 Tb 0.9276 0.4276 0.2824
6 Tb 0.5000 0.5000 0.0000
7 Tb 0.3549 0.8549 0.2824
8 Tb 0.0724 0.5724 0.7176
9 Tb 0.8549 0.9276 0.2824
10 Tb 0.1451 0.0724 0.7176
11 Tb 0.6451 0.1451 0.7176
12 Tb 0.5724 0.6451 0.7176
13 Nd 0.3812 0.8812 0.0000
14 Nd 0.6188 0.1188 0.0000
15 Nd 0.8812 0.6188 0.0000
16 Nd 0.1188 0.3812 0.0000
17 Er 0.2500 0.7500 0.5000
18 Er 0.7500 0.2500 0.5000

=====

Record 6
# CuH3Rh3

An optimized crystal structure of CuH3Rh3 (GGA-PBE, the Alexandria database).

Values from the calculation:
Size of the total moment, μB per formula unit: 0.0
DOS at the Fermi energy, states/eV per cell: 14.16
Energy above the most stable polymorph in this dataset, meV/atom: 0.0
Calculated total energy, eV/atom: -5.1232
SG: No. 148

Cell lengths 7.2211, 7.2211, 7.2211 Å; angles 38.90, 38.90, 38.90 degrees
Positions (direct):
1 H 0.7485 0.0600 0.3751
2 H 0.6249 0.2515 0.9400
3 H 0.2515 0.9400 0.6249
4 H 0.0600 0.3751 0.7485
5 H 0.3751 0.7485 0.0600
6 H 0.9400 0.6249 0.2515
7 Cu 0.6668 0.6668 0.6668
8 Cu 0.3332 0.3332 0.3332
9 Rh 0.5564 0.8910 0.2253
10 Rh 0.8910 0.2253 0.5564
11 Rh 0.4436 0.1090 0.7747
12 Rh 0.1090 0.7747 0.4436
13 Rh 0.7747 0.4436 0.1090
14 Rh 0.2253 0.5564 0.8910

=====

Record 7
# K3Er3USe8

An optimized crystal structure of K3Er3USe8 (GGA-PBE, the Alexandria database).

Values from the calculation:
Size of the total moment, μB per formula unit: 2.0
DOS at the Fermi energy, states/eV per cell: 5.90
Calculated total energy, eV/atom: -5.3786
SG: No. 12

Cell lengths 8.3111, 8.3102, 9.1518 Å; angles 116.97, 89.99, 120.07 degrees
Positions (direct):
1 K 0.0000 0.5000 0.0000
2 K 0.5000 0.5000 0.0000
3 K 0.0000 0.0000 0.0000
4 U 0.0000 0.0000 0.5000
5 Se 0.2330 0.4661 0.6999
6 Se 0.2331 0.9669 0.6999
7 Se 0.7669 0.0331 0.3001
8 Se 0.7342 0.4684 0.7025
9 Se 0.2658 0.5316 0.2975
10 Se 0.7339 0.9669 0.6999
11 Se 0.2661 0.0331 0.3001
12 Se 0.7670 0.5339 0.3001
13 Er 0.5000 0.5000 0.5000
14 Er 0.0000 0.5000 0.5000
15 Er 0.5000 0.0000 0.5000

=====

Record 8
# RbSiSn3

An optimized crystal structure of RbSiSn3 (GGA-PBE, the Alexandria database).

Values from the calculation:
Size of the total moment, μB per formula unit: 0.0
DOS at the Fermi energy, states/eV per cell: 6.57
Energy above the most stable polymorph in this dataset, meV/atom: 1404.4
Calculated total energy, eV/atom: -1.9853
SG: No. 221

Cell lengths 5.9680, 5.9680, 5.9680 Å; angles 90.00, 90.00, 90.00 degrees
Positions (direct):
1 Sn 0.0000 0.5000 0.0000
2 Sn 0.0000 0.0000 0.5000
3 Sn 0.5000 0.0000 0.0000
4 Si 0.5000 0.5000 0.5000
5 Rb 0.0000 0.0000 0.0000

=====

Record 9
# TbAl7Ag5

An optimized crystal structure of TbAl7Ag5 (GGA-PBE, the Alexandria database).

Values from the calculation:
Size of the total moment, μB per formula unit: 0.0
DOS at the Fermi energy, states/eV per cell: 3.82
Energy of formation, eV per atom: -0.178
Calculated total energy, eV/atom: -3.6458
SG: No. 44

Cell lengths 5.5377, 7.0587, 7.0587 Å; angles 82.55, 66.90, 66.90 degrees
Positions (direct):
1 Al 0.3483 0.6517 0.6517
2 Al 0.5056 0.2023 0.7865
3 Al 0.9958 0.3560 0.6523
4 Al 0.6423 0.3577 0.3577
5 Al 0.9958 0.6523 0.3560
6 Al 0.5056 0.7865 0.2023
7 Al 0.2787 0.2213 0.2213
8 Ag 0.5025 0.4868 0.0060
9 Ag 0.7165 0.7835 0.7835
10 Ag 0.0046 0.0060 0.4868
11 Ag 0.5025 0.0060 0.4868
12 Ag 0.0046 0.4868 0.0060
13 Tb 0.9971 0.0029 0.0029

=====

Record 10
# Ni3PtRh4

An optimized crystal structure of Ni3PtRh4 (GGA-PBE, the Alexandria database).

Values from the calculation:
Size of the total moment, μB per formula unit: 3.7
DOS at the Fermi energy, states/eV per cell: 13.38
Energy of formation, eV per atom: 0.138
Calculated total energy, eV/atom: -6.4604
SG: No. 12

Cell lengths 2.6568, 9.7888, 10.5009 Å; angles 154.86, 97.27, 90.00 degrees
Positions (direct):
1 Rh 0.9743 0.2146 0.9487
2 Rh 0.2337 0.8505 0.4674
3 Rh 0.0257 0.7854 0.0513
4 Rh 0.7663 0.1495 0.5326
5 Ni 0.7379 0.3568 0.4758
6 Ni 0.2621 0.6432 0.5242
7 Ni 0.5000 0.5000 0.0000
8 Pt 0.0000 0.0000 0.0000

=====

Record 11
# Ce2Er5Tm4

An optimized crystal structure of Ce2Er5Tm4 (GGA-PBE, the Alexandria database).

Values from the calculation:
Size of the total moment, μB per formula unit: 3.2
DOS at the Fermi energy, states/eV per cell: 25.47
Energy of formation, eV per atom: 0.436
Energy above the most stable polymorph in this dataset, meV/atom: 333.2
Calculated total energy, eV/atom: -4.3424
SG: No. 71

Cell lengths 3.4282, 7.5699, 14.3775 Å; angles 105.26, 96.85, 90.00 degrees
Positions (direct):
1 Er 0.1958 0.4537 0.3917
2 Er 0.8042 0.0620 0.6083
3 Er 0.1958 0.9380 0.3917
4 Er 0.5000 0.0000 0.0000
5 Er 0.8042 0.5463 0.6083
6 Ce 0.1025 0.1025 0.2050
7 Ce 0.8975 0.8975 0.7950
8 Tm 0.0000 0.3188 0.0000
9 Tm 0.6021 0.6021 0.2042
10 Tm 0.0000 0.6812 0.0000
11 Tm 0.3979 0.3979 0.7958

=====

Record 12
# Zr5Al

An optimized crystal structure of Zr5Al (GGA-PBE, the Alexandria database).

Values from the calculation:
Size of the total moment, μB per formula unit: 0.0
DOS at the Fermi energy, states/eV per cell: 7.05
Energy of formation, eV per atom: 0.513
Calculated total energy, eV/atom: -7.2338
SG: No. 191

Cell lengths 5.8405, 5.8405, 4.9359 Å; angles 90.00, 90.00, 120.00 degrees
Positions (direct):
1 Zr 0.5000 0.5000 0.5000
2 Zr 0.0000 0.5000 0.5000
3 Zr 0.6667 0.3333 0.0000
4 Zr 0.3333 0.6667 0.0000
5 Zr 0.5000 0.0000 0.5000
6 Al 0.0000 0.0000 0.0000